Below is a relaxed structure of Fe, with properties calculated at the PBE-GGA level.

Lattice parameters (Å, degrees): 2.458 2.458 2.458 60.00 60.00 60.00
Sites, in units of the cell vectors:
Fe1 0.000 0.000 0.000

Summary:
Its energy above the most stable polymorph in this dataset is 3.68 kcal/mol of atoms. The space group is No. 225. For the density of states at the Fermi level, the calculation gives 1.4 states/eV per cell.